(1)
CaEr2Ga6 | PBE-GGA | optimized geometry

Values from the calculation:
Calculated formation energy, eV/atom: -0.5545
Size of the total moment, μB/f.u.: 0.0
Volume, Å³/cell: 192

abc: 7.3127 7.3127 4.1537
angles: 90.00 90.00 120.00
Space group P6/mmm (No. 191)
Asymmetric unit:
Ca: 0.0000 0.0000 0.0000 (multiplicity 1)
Er: 0.3333 0.6667 0.0000 (multiplicity 2)
Ga: 0.0000 0.3355 0.5000 (multiplicity 6)

=====

(2)
CaEr3Ga4 | PBE-GGA | optimized geometry

Values from the calculation:
Calculated formation energy, eV/atom: -0.5321
Size of the total moment, μB/f.u.: 0.0
Volume, Å³/cell: 362

abc: 10.115 7.086 5.057
angles: 90.00 90.00 90.00
Space group Pmma (No. 51)
Asymmetric unit:
Ca: 0.000 0.000 0.000 (multiplicity 2)
Er: 0.000 0.500 0.000 (multiplicity 2)
Er: 0.250 0.000 0.499 (multiplicity 2)
Er: 0.250 0.500 0.499 (multiplicity 2)
Ga: 0.000 0.255 0.500 (multiplicity 4)
Ga: 0.250 0.254 0.999 (multiplicity 4)

=====

(3)
CaErGa3 | PBE-GGA | optimized geometry

Values from the calculation:
Calculated formation energy, eV/atom: -0.5246
Size of the total moment, μB/f.u.: 0.0
Volume, Å³/cell: 455

abc: 4.000 26.374 4.308
angles: 90.00 90.00 90.00
Space group Cmcm (No. 63)
Asymmetric unit:
Ca: 0.000 0.075 0.250 (multiplicity 4)
Er: 0.000 0.207 0.750 (multiplicity 4)
Ga: 0.000 0.322 0.750 (multiplicity 4)
Ga: 0.000 0.379 0.250 (multiplicity 4)
Ga: 0.000 0.476 0.250 (multiplicity 4)